The following is a DFT calculation (PBE-GGA) of a relaxed structure of Sm6As2SeS3.

abc: 4.1099 8.2105 9.1823
angles: 102.63 102.93 90.00
Fractional coordinates of all 12 atoms:
Se1 0.5000 0.0000 0.0000
S1 0.8346 0.1663 0.6693
S2 0.5000 0.5000 0.0000
S3 0.1654 0.8337 0.3307
Sm1 0.3335 0.4151 0.6669
Sm2 0.6665 0.5849 0.3331
Sm3 0.9994 0.2622 0.9988
Sm4 0.3286 0.9160 0.6573
Sm5 0.6714 0.0840 0.3427
Sm6 0.0006 0.7378 0.0012
As1 0.1657 0.3316 0.3315
As2 0.8343 0.6684 0.6685

Calculated values
crystal system: monoclinic
space-group type: C2/m (12)
formation energy without anion corrections: -1.85 eV per atom
density of states at the Fermi level: 0.35 states/eV per atom